Computed, not measured: an optimized crystal structure of Pr2DyTa at the PBE-GGA level of DFT.

Symmetry: R-3m, No. 166
Formation enthalpy at 0 K: 0.678 eV/atom

a = 3.328 Å, b = 3.328 Å, c = 12.226 Å
α = 82.18°, β = 82.18°, γ = 60.00°
Positions (direct):
Pr1 0.082 0.082 0.755
Pr2 0.918 0.918 0.245
Dy1 0.500 0.500 0.500
Ta1 0.000 0.000 0.000

---

Computed, not measured: an optimized crystal structure of Pm5TmMg4 at the PBE-GGA level of DFT.

Symmetry: P4/mmm, No. 123
Formation enthalpy at 0 K: -0.072 eV/atom

a = 3.812 Å, b = 3.812 Å, c = 20.373 Å
α = 90.00°, β = 90.00°, γ = 90.00°
Positions (direct):
Pm1 0.500 0.500 0.115
Pm2 0.500 0.500 0.308
Pm3 0.500 0.500 0.500
Pm4 0.500 0.500 0.692
Pm5 0.500 0.500 0.885
Tm1 0.000 0.000 0.000
Mg1 0.000 0.000 0.211
Mg2 0.000 0.000 0.404
Mg3 0.000 0.000 0.596
Mg4 0.000 0.000 0.789

---

Computed, not measured: an optimized crystal structure of CsSc2TaGe at the PBE-GGA level of DFT.

Symmetry: P4/mmm, No. 123
Formation enthalpy at 0 K: 1.313 eV/atom

a = 5.258 Å, b = 5.920 Å, c = 5.258 Å
α = 90.00°, β = 90.00°, γ = 90.00°
Positions (direct):
Cs1 0.000 0.500 0.000
Sc1 0.000 0.000 0.500
Sc2 0.500 0.000 0.000
Ge1 0.500 0.500 0.500
Ta1 0.000 0.000 0.000

---

Computed, not measured: an optimized crystal structure of Be3CdRu at the PBE-GGA level of DFT.

Symmetry: Pm-3m, No. 221
Formation enthalpy at 0 K: 0.538 eV/atom

a = 4.217 Å, b = 4.217 Å, c = 4.217 Å
α = 90.00°, β = 90.00°, γ = 90.00°
Positions (direct):
Ru1 0.000 0.000 0.000
Be1 0.000 0.500 0.000
Be2 0.000 0.000 0.500
Be3 0.500 0.000 0.000
Cd1 0.500 0.500 0.500

---

Computed, not measured: an optimized crystal structure of Be2CuAs at the PBE-GGA level of DFT.

Symmetry: I-42d, No. 122
Formation enthalpy at 0 K: 0.487 eV/atom

a = 4.902 Å, b = 4.902 Å, c = 6.576 Å
α = 68.12°, β = 68.12°, γ = 90.00°
Positions (direct):
Be1 0.641 0.125 0.250
Be2 0.109 0.625 0.250
Be3 0.375 0.359 0.750
Be4 0.875 0.891 0.750
As1 0.000 0.000 0.000
As2 0.750 0.250 0.500
Cu1 0.500 0.500 0.000
Cu2 0.250 0.750 0.500

---

Computed, not measured: an optimized crystal structure of SiAg5 at the PBE-GGA level of DFT.

Symmetry: Cm, No. 8
Formation energy without anion corrections: 0.131 eV per atom

a = 5.507 Å, b = 5.507 Å, c = 7.066 Å
α = 76.24°, β = 76.24°, γ = 30.32°
Positions (direct):
Si1 0.268 0.268 0.963
Ag1 0.981 0.981 0.990
Ag2 0.328 0.328 0.339
Ag3 0.683 0.683 0.691
Ag4 0.611 0.611 0.255
Ag5 0.963 0.963 0.594

---

Computed, not measured: an optimized crystal structure of Ba3Sn2Bi3 at the PBE-GGA level of DFT.

Symmetry: C2/m, No. 12
Formation enthalpy at 0 K: -0.652 eV/atom

a = 5.131 Å, b = 5.012 Å, c = 12.409 Å
α = 87.31°, β = 78.10°, γ = 90.02°
Positions (direct):
Ba1 0.844 0.502 0.311
Ba2 0.156 0.498 0.689
Ba3 0.000 0.000 0.000
Sn1 0.726 0.894 0.548
Sn2 0.274 0.106 0.452
Bi1 0.396 0.990 0.208
Bi2 0.500 0.500 0.000
Bi3 0.604 0.010 0.792

---

Computed, not measured: an optimized crystal structure of Rb2CdSeF6 at the PBE-GGA level of DFT.

Symmetry: I4/mmm, No. 139
Formation energy without anion corrections: -2.117 eV per atom

a = 6.103 Å, b = 6.103 Å, c = 6.970 Å
α = 64.03°, β = 64.03°, γ = 90.00°
Positions (direct):
F1 0.195 0.195 0.609
F2 0.805 0.805 0.391
F3 0.266 0.266 0.000
F4 0.734 0.734 0.000
F5 0.734 0.266 0.000
F6 0.266 0.734 0.000
Se1 0.500 0.500 0.000
Rb1 0.750 0.250 0.500
Rb2 0.250 0.750 0.500
Cd1 0.000 0.000 0.000

---

Computed, not measured: an optimized crystal structure of MgMo2As at the PBE-GGA level of DFT.

Symmetry: P4mm, No. 99
Formation enthalpy at 0 K: 0.005 eV/atom

a = 3.263 Å, b = 3.263 Å, c = 6.247 Å
α = 90.00°, β = 90.00°, γ = 90.00°
Positions (direct):
As1 0.000 0.000 0.476
Mg1 0.500 0.500 0.750
Mo1 0.000 0.000 0.023
Mo2 0.500 0.500 0.250

---

Computed, not measured: an optimized crystal structure of LaZrCd2 at the PBE-GGA level of DFT.

Symmetry: P4mm, No. 99
Formation enthalpy at 0 K: -0.063 eV/atom

a = 3.367 Å, b = 3.367 Å, c = 9.036 Å
α = 90.00°, β = 90.00°, γ = 90.00°
Positions (direct):
Cd1 0.000 0.000 0.003
Cd2 0.500 0.500 0.218
La1 0.000 0.000 0.500
Zr1 0.500 0.500 0.779

---

Computed, not measured: an optimized crystal structure of SmFe5Si2 at the PBE-GGA level of DFT.

Symmetry: Immm, No. 71
Formation energy without anion corrections: -0.299 eV per atom

a = 3.495 Å, b = 6.074 Å, c = 6.074 Å
α = 69.56°, β = 73.28°, γ = 73.28°
Site moments in Bohr magnetons follow the coordinates.
Positions (direct):
Sm1 0.000 0.000 0.000  -0.14
Fe1 0.000 0.500 0.500  2.18
Fe2 0.650 0.534 0.167  2.01
Fe3 0.350 0.466 0.833  2.01
Fe4 0.350 0.833 0.466  2.01
Fe5 0.650 0.167 0.534  2.01
Si1 0.748 0.752 0.752  -0.10
Si2 0.252 0.248 0.248  -0.10

---

Computed, not measured: an optimized crystal structure of CoRh2W at the PBE-GGA level of DFT.

Symmetry: I-4m2, No. 119
Formation enthalpy at 0 K: -0.091 eV/atom

a = 4.652 Å, b = 4.652 Å, c = 4.652 Å
α = 131.80°, β = 131.82°, γ = 70.52°
Site moments in Bohr magnetons follow the coordinates.
Positions (direct):
Co1 0.250 0.750 0.500  0.80
Rh1 0.000 0.000 0.000  0.24
Rh2 0.750 0.250 0.500  0.14
W1 0.500 0.500 0.000  -0.15

---

no.,magnetization (μB per formula unit),energy (eV/atom)
1,0.002,-5.825
2,0.000,-3.533
3,0.000,-4.685
4,0.000,-3.736
5,0.000,-3.563
6,0.000,-3.149
7,0.000,-3.829
8,0.000,-3.873
9,0.000,-6.972
10,0.000,-3.889
11,9.657,-7.534
12,0.973,-8.781